Below is a relaxed structure of KUTlTe3, with properties calculated at the GGA-PBE level.

Results
calculated total energy	-4.65	eV per atom

Unit cell a=8.785 b=8.785 c=12.994 alpha=90.00 beta=90.00 gamma=150.36
Atoms (fractional coordinates):
K 0.165 0.835 0.750
K 0.835 0.165 0.250
U 0.500 0.500 0.000
U 0.500 0.500 0.500
Tl 0.136 0.864 0.250
Tl 0.864 0.136 0.750
Te 0.121 0.879 0.502
Te 0.121 0.879 0.998
Te 0.496 0.504 0.750
Te 0.504 0.496 0.250
Te 0.879 0.121 0.002
Te 0.879 0.121 0.498

Below is a relaxed structure of DyYCo2Ge4, with properties calculated at the GGA-PBE level.

Results
calculated total energy	-6.11	eV per atom

Unit cell a=4.154 b=8.534 c=8.534 alpha=28.06 beta=90.00 gamma=90.00
Atoms (fractional coordinates):
Dy 0.000 0.000 0.000
Y 0.500 0.218 0.218
Co 0.000 0.790 0.790
Co 0.500 0.428 0.428
Ge 0.000 0.360 0.360
Ge 0.000 0.654 0.654
Ge 0.500 0.564 0.564
Ge 0.500 0.858 0.858

Below is a relaxed structure of Ta2Sn3Pt2, with properties calculated at the GGA-PBE level.

Results
calculated total energy	-6.54	eV per atom

Unit cell a=8.430 b=8.430 c=8.430 alpha=31.46 beta=31.46 gamma=31.46
Atoms (fractional coordinates):
Ta 0.000 0.000 0.000
Ta 0.496 0.496 0.496
Sn 0.384 0.384 0.384
Sn 0.620 0.620 0.620
Sn 0.861 0.861 0.861
Pt 0.248 0.248 0.248
Pt 0.745 0.745 0.745

Below is a relaxed structure of NaErAsO, with properties calculated at the GGA-PBE level.

Results
ΔE to the lowest computed polymorph	246	meV/atom
calculated total energy	-5.33	eV per atom

Unit cell a=3.577 b=8.214 c=6.384 alpha=90.00 beta=90.00 gamma=90.00
Atoms (fractional coordinates):
Na 0.000 0.216 0.000
Na 0.000 0.784 0.500
Er 0.500 0.384 0.582
Er 0.500 0.616 0.082
As 0.000 0.137 0.458
As 0.000 0.863 0.958
O 0.500 0.400 0.910
O 0.500 0.600 0.410

Below is a relaxed structure of ZrGa2Pd2, with properties calculated at the GGA-PBE level.

Results
ΔE to the lowest computed polymorph	0	meV/atom
calculated total energy	-5.56	eV per atom

Unit cell a=6.111 b=6.111 c=6.111 alpha=141.93 beta=141.93 gamma=54.93
Atoms (fractional coordinates):
Zr 0.000 0.000 0.000
Ga 0.390 0.390 0.000
Ga 0.610 0.610 0.000
Pd 0.250 0.750 0.500
Pd 0.750 0.250 0.500

Below is a relaxed structure of DyErFe2B2N2, with properties calculated at the GGA-PBE level.

Results
calculated total energy	-8.02	eV per atom

Unit cell a=3.429 b=3.429 c=7.685 alpha=90.00 beta=90.00 gamma=90.00
Atoms (fractional coordinates):
Dy 0.000 0.000 0.000
Er 0.500 0.500 0.330
Fe 0.000 0.500 0.665
Fe 0.500 0.000 0.665
B 0.000 0.000 0.500
B 0.500 0.500 0.831
N 0.000 0.000 0.306
N 0.500 0.500 0.025

Q: Among the records above, which one has the highest calculated total energy?
A: KUTlTe3

Q: calculated total energy of number 6 (DyErFe2B2N2)?
A: -8.02 eV per atom

Q: Look up the calculated total energy of the second one.
A: -6.11 eV per atom